MnV3W: optimized geometry, GGA-PBE.

Cell: 4.5883 4.5883 4.5883 Å, 90.00 90.00 90.00°
With the nearest neighbours (Å) after each atom.
Sites, in units of the cell vectors:
1 Mn 0.0000 0.0000 0.0000  12 V 3.24
2 V 0.0000 0.5000 0.5000  2 W 2.29
3 V 0.5000 0.0000 0.5000  2 W 2.29
4 V 0.5000 0.5000 0.0000  2 W 2.29
5 W 0.5000 0.5000 0.5000  6 V 2.29

Summary:
DFT formation energy	1.468	eV/atom
mass density	6.73	g/cm3